Record 1
## Dy4Y2Tm7 (PBE)

Data for Dy4Y2Tm7 after structural relaxation.

Summary:
Density of states at the Fermi level ... 1.409 states/eV/atom
ρ ... 8.3 g/cm³
VASP energy ... -62.30 eV per cell
Space-group type ... No. 2

abc: 6.084 7.860 9.313
angles: 65.10 83.81 82.58
Atoms (fractional coordinates):
Dy 0.036 0.422 0.347
Dy 0.192 0.115 0.730
Dy 0.808 0.885 0.270
Dy 0.964 0.578 0.653
Y 0.345 0.807 0.115
Y 0.655 0.193 0.885
Tm 0.116 0.271 0.039
Tm 0.269 0.962 0.423
Tm 0.424 0.655 0.807
Tm 0.500 0.500 0.500
Tm 0.576 0.345 0.193
Tm 0.731 0.038 0.577
Tm 0.884 0.729 0.961


Record 2
## Dy10Y4Tm (PBE)

Data for Dy10Y4Tm after structural relaxation.

Summary:
Density of states at the Fermi level ... 1.100 states/eV/atom
ρ ... 6.3 g/cm³
VASP energy ... -65.11 eV per cell
Space-group type ... No. 87

abc: 9.412 9.412 9.412
angles: 99.59 99.59 131.82
Atoms (fractional coordinates):
Dy 0.049 0.150 0.702
Dy 0.150 0.447 0.100
Dy 0.250 0.750 0.500
Dy 0.347 0.049 0.900
Dy 0.447 0.347 0.298
Dy 0.553 0.653 0.702
Dy 0.653 0.951 0.100
Dy 0.750 0.250 0.500
Dy 0.850 0.553 0.900
Dy 0.951 0.850 0.298
Y 0.201 0.601 0.801
Y 0.399 0.201 0.600
Y 0.601 0.799 0.400
Y 0.799 0.399 0.199
Tm 0.000 0.000 0.000


Record 3
## Dy2Y7Tm4 (PBE)

Data for Dy2Y7Tm4 after structural relaxation.

Summary:
Density of states at the Fermi level ... 1.875 states/eV/atom
ρ ... 6.5 g/cm³
VASP energy ... -71.35 eV per cell
Space-group type ... No. 2

abc: 6.702 8.585 8.820
angles: 117.13 100.26 104.14
Atoms (fractional coordinates):
Dy 0.201 0.231 0.133
Dy 0.799 0.769 0.867
Y 0.151 0.972 0.687
Y 0.255 0.509 0.572
Y 0.416 0.142 0.458
Y 0.500 0.500 0.000
Y 0.584 0.858 0.542
Y 0.745 0.491 0.428
Y 0.849 0.028 0.313
Tm 0.079 0.650 0.223
Tm 0.323 0.829 0.995
Tm 0.677 0.171 0.005
Tm 0.921 0.350 0.777


Record 4
## Dy2Y4Tm5 (PBE)

Data for Dy2Y4Tm5 after structural relaxation.

Summary:
Density of states at the Fermi level ... 1.884 states/eV/atom
ρ ... 7.3 g/cm³
VASP energy ... -56.31 eV per cell
Space-group type ... No. 12

abc: 8.595 8.595 9.152
angles: 121.54 121.54 38.11
Atoms (fractional coordinates):
Dy 0.097 0.097 0.263
Dy 0.903 0.903 0.737
Y 0.184 0.184 0.987
Y 0.453 0.453 0.193
Y 0.547 0.547 0.807
Y 0.816 0.816 0.013
Tm 0.000 0.000 0.500
Tm 0.283 0.283 0.739
Tm 0.345 0.345 0.436
Tm 0.655 0.655 0.564
Tm 0.717 0.717 0.261


Record 5
## DyYTm2 (PBE)

Data for DyYTm2 after structural relaxation.

Summary:
Density of states at the Fermi level ... 2.557 states/eV/atom
ρ ... 7.8 g/cm³
VASP energy ... -19.47 eV per cell
Space-group type ... No. 225

abc: 5.628 5.628 5.628
angles: 60.00 60.00 60.00
Atoms (fractional coordinates):
Dy 0.000 0.000 0.000
Y 0.500 0.500 0.500
Tm 0.250 0.250 0.250
Tm 0.750 0.750 0.750


Record 6
## Dy3Y2Tm8 (PBE)

Data for Dy3Y2Tm8 after structural relaxation.

Summary:
Density of states at the Fermi level ... 1.790 states/eV/atom
ρ ... 8.0 g/cm³
VASP energy ... -59.24 eV per cell
Space-group type ... No. 65

abc: 10.803 10.803 5.516
angles: 90.00 90.00 139.19
Atoms (fractional coordinates):
Dy 0.000 0.000 0.000
Dy 0.286 0.286 0.500
Dy 0.714 0.714 0.500
Y 0.241 0.759 0.000
Y 0.759 0.241 0.000
Tm 0.131 0.869 0.500
Tm 0.179 0.396 0.000
Tm 0.336 0.664 0.500
Tm 0.396 0.179 0.000
Tm 0.604 0.821 0.000
Tm 0.664 0.336 0.500
Tm 0.821 0.604 0.000
Tm 0.869 0.131 0.500